# 1
Ti2NF: relaxed, GGA-PBEsol.

Cell lengths 4.7609, 4.7609, 9.2348 Å; angles 90.00, 90.00, 90.00 degrees
With the nearest neighbours (Å) after each atom.
Space group I-42d (No. 122)
One atom of each set of equivalent atoms:
Ti  0.2083  0.2500  0.1250 x8  2 N 1.93, 2 F 2.16
N  0.0000  0.0000  0.0000 x4  4 Ti 1.93
F  0.0000  0.0000  0.5000 x4  4 Ti 2.16

Computed properties:
- magnetic moment (μB per formula unit) = 0.0
- calculated total energy (eV/atom) = -8.256
- N(E_F) (states/eV/f.u.) = 3.26
- calculated density (g cm⁻³) = 4.085
- crystal system = tetragonal
- E_form (uncorrected) (meV/atom) = -1481.3

# 2
TiNF: relaxed, GGA-PBEsol.

Cell lengths 3.0372, 3.9283, 5.9747 Å; angles 90.00, 90.00, 90.00 degrees
With the nearest neighbours (Å) after each atom.
Space group Pmmn (No. 59, origin choice 2)
One atom of each set of equivalent atoms:
Ti  0.2500  0.2500  0.1353 x2  4 N 1.99, 2 F 2.02
N  0.2500  0.7500  0.0804 x2  4 Ti 1.99
F  0.2500  0.7500  0.6421 x2  2 Ti 2.02

Computed properties:
- magnetic moment (μB per formula unit) = 0.0
- calculated total energy (eV/atom) = -8.552
- calculated density (g cm⁻³) = 3.768
- crystal system = orthorhombic
- E_form (uncorrected) (meV/atom) = -2293.2